[1]
! CsCuAsCl6 | Alexandria via LeMat-Bulk | PBE-GGA | optimized geometry; values from VASP
&SYSTEM
  ibrav = 0, nat = 9, ntyp = 4
/
ATOMIC_SPECIES
Cl 35.45 Cl.upf
Cu 63.55 Cu.upf
As 74.92 As.upf
Cs 132.91 Cs.upf
CELL_PARAMETERS angstrom
-5.930 -1.207 4.284
-1.268 -6.011 4.512
2.677 4.014 5.146
ATOMIC_POSITIONS crystal
Cl 0.978 0.626 0.729
Cl 0.623 0.985 0.267
Cl 0.574 0.334 0.705
Cl 0.967 0.430 0.296
Cl 0.410 0.979 0.682
Cl 0.345 0.567 0.318
Cu 0.730 0.743 0.493
As 0.335 0.339 0.502
Cs 0.037 0.997 0.008
! ΔE_f (raw) ... -8.21 eV/f.u.
! SG ... No. 1


[2]
! PrEr3Cd | Alexandria via LeMat-Bulk | PBE-GGA | optimized geometry; values from VASP
&SYSTEM
  ibrav = 0, nat = 20, ntyp = 3
/
ATOMIC_SPECIES
Er 167.26 Er.upf
Pr 140.91 Pr.upf
Cd 112.41 Cd.upf
CELL_PARAMETERS angstrom
-6.400 2.334 2.227
-5.734 -4.033 -6.999
-4.135 -8.663 2.446
ATOMIC_POSITIONS crystal
Er 0.599 0.314 0.313
Er 0.598 0.668 0.993
Er 0.099 0.313 0.314
Er 0.902 0.007 0.332
Er 0.925 0.334 0.005
Er 0.901 0.687 0.686
Er 0.401 0.686 0.687
Er 0.075 0.666 0.995
Er 0.098 0.993 0.668
Er 0.425 0.005 0.334
Er 0.402 0.332 0.007
Er 0.575 0.995 0.666
Pr 0.750 0.025 0.975
Pr 0.750 0.656 0.344
Pr 0.250 0.344 0.656
Pr 0.250 0.975 0.025
Cd 0.802 0.260 0.579
Cd 0.198 0.740 0.421
Cd 0.698 0.421 0.740
Cd 0.302 0.579 0.260
! D(E_F) ... 1.407 states/eV/atom
! DFT formation energy ... 0.012 eV per atom
! SG ... No. 15


[3]
! NaHg3Ir | Alexandria via LeMat-Bulk | PBE-GGA | optimized geometry; values from VASP
&SYSTEM
  ibrav = 0, nat = 5, ntyp = 3
/
ATOMIC_SPECIES
Hg 200.59 Hg.upf
Ir 192.22 Ir.upf
Na 22.99 Na.upf
CELL_PARAMETERS angstrom
-3.395 1.402 3.796
-3.922 -2.362 -2.635
0.998 -4.512 2.559
ATOMIC_POSITIONS crystal
Hg 0.000 0.000 0.500
Hg 0.000 0.500 0.000
Hg 0.500 0.000 0.000
Ir 0.000 0.000 0.000
Na 0.500 0.500 0.500
! D(E_F) ... 0.318 states/eV/atom
! DFT formation energy ... 0.078 eV per atom
! SG ... No. 221


[4]
! Ba3ZrSc2O9 | Alexandria via LeMat-Bulk | PBE-GGA | optimized geometry; values from VASP
&SYSTEM
  ibrav = 0, nat = 15, ntyp = 4
/
ATOMIC_SPECIES
O 16.00 O.upf
Ba 137.33 Ba.upf
Sc 44.96 Sc.upf
Zr 91.22 Zr.upf
CELL_PARAMETERS angstrom
5.985 0.000 0.000
-2.992 5.183 0.000
0.000 0.000 7.340
ATOMIC_POSITIONS crystal
O 0.166 0.333 0.333
O 0.834 0.667 0.667
O 0.500 0.000 0.000
O 0.333 0.166 0.667
O 0.834 0.166 0.667
O 0.500 0.500 0.000
O 0.667 0.834 0.333
O 0.000 0.500 0.000
O 0.166 0.834 0.333
Ba 0.000 0.000 0.000
Ba 0.667 0.333 0.329
Ba 0.333 0.667 0.671
Sc 0.667 0.333 0.832
Sc 0.333 0.667 0.168
Zr 0.000 0.000 0.500
! ΔE_f (raw) ... -43.99 eV/f.u.
! D(E_F) ... 0.714 states/eV/atom
! SG ... No. 164